[1]
Below is a geometry-optimized AcUMn2S8 structure, with properties calculated at the PBE-GGA level.

The formation energy from raw total energies comes out at -0.87 eV per atom.

It has space group I-4 (No. 82), with a = 6.291 Å, b = 6.291 Å, c = 13.791 Å, α = 90.00°, β = 90.00° and γ = 90.00°. Symmetry generates all atoms from Ac at (0.000, 0.000, 0.000), U at (0.000, 0.500, 0.250), Mn at (0.000, 0.000, 0.500), Mn at (0.000, 0.500, 0.750), S at (0.128, 0.262, 0.416) and S at (0.167, 0.787, 0.814).


[2]
Below is a geometry-optimized Ac2YMnS5 structure, with properties calculated at the PBE-GGA level.

The formation energy from raw total energies comes out at -1.81 eV per atom.

It has space group Cmc2_1 (No. 36), with a = 4.087 Å, b = 16.988 Å, c = 12.372 Å, α = 90.00°, β = 90.00° and γ = 90.00°. Symmetry generates all atoms from Ac at (0.000, 0.120, 0.000), Ac at (0.000, 0.126, 0.643), Y at (0.000, 0.186, 0.328), Mn at (0.000, 0.448, 0.742), S at (0.000, 0.024, 0.332), S at (0.000, 0.301, 0.982), S at (0.000, 0.312, 0.674), S at (0.000, 0.347, 0.322) and S at (0.000, 0.495, 0.070).


[3]
Below is a geometry-optimized Ac2ZrMnS6 structure, with properties calculated at the PBE-GGA level.

The formation energy from raw total energies comes out at -1.52 eV per atom.

It has space group Pmmn (No. 59, origin choice 2), with a = 6.919 Å, b = 9.821 Å, c = 7.150 Å, α = 90.00°, β = 90.00° and γ = 90.00°. Symmetry generates all atoms from Ac at (0.250, 0.037, 0.189), Zr at (0.250, 0.250, 0.706), Mn at (0.250, 0.750, 0.773), S at (0.014, 0.750, 0.040), S at (0.020, 0.250, 0.434) and S at (0.250, 0.501, 0.775).


[4]
Below is a geometry-optimized Ac2MnSb structure, with properties calculated at the PBE-GGA level.

The formation energy from raw total energies comes out at -0.25 eV per atom.

It has space group P4/mmm (No. 123), with a = 5.549 Å, b = 5.549 Å, c = 4.186 Å, α = 90.00°, β = 90.00° and γ = 90.00°. Symmetry generates all atoms from Ac at (0.000, 0.500, 0.000), Mn at (0.000, 0.000, 0.500) and Sb at (0.500, 0.500, 0.500).